Here is a geometry-optimized In2GaBr3 structure from the Alexandria database. Energies are from PBE.

Output
Formation energy from raw total energies: -0.60 eV/atom
Symmetry: Immm, No. 71

abc: 4.603 6.571 8.065
angles: 114.04 106.58 90.00
Element x y z (fractional)
In  0.168  0.668  0.336
In  0.832  0.332  0.664
Br  0.500  0.500  0.000
Br  0.845  0.845  0.690
Br  0.155  0.155  0.310
Ga  0.500  0.000  0.000

=====

Here is a geometry-optimized Mg2TiNbO6 structure from the Alexandria database. Energies are from PBE.

Output
Formation energy from raw total energies: -2.50 eV/atom
Symmetry: P4mm, No. 99

abc: 4.679 5.416 5.416
angles: 90.00 90.00 90.00
Site moments in Bohr magnetons follow the coordinates.
Element x y z (fractional)
O  0.744  0.248  0.752  0.01
O  0.744  0.752  0.248  0.01
O  0.205  0.500  0.500  -0.02
O  0.243  0.000  0.000  0.00
O  0.744  0.248  0.248  0.01
O  0.744  0.752  0.752  0.01
Mg  0.911  0.000  0.500  0.00
Mg  0.911  0.500  0.000  0.00
Ti  0.611  0.000  0.000  -0.03
Nb  0.592  0.500  0.500  0.38

=====

Here is a geometry-optimized KGe3Te structure from the Alexandria database. Energies are from PBE.

Output
Formation energy from raw total energies: 0.57 eV/atom
Symmetry: Pm-3m, No. 221

abc: 5.605 5.605 5.605
angles: 90.00 90.00 90.00
Element x y z (fractional)
Te  0.000  0.000  0.000
Ge  0.000  0.500  0.000
Ge  0.000  0.000  0.500
Ge  0.500  0.000  0.000
K  0.500  0.500  0.500

=====

Here is a geometry-optimized Ba8HAu3 structure from the Alexandria database. Energies are from PBE.

Output
E_tot: -33.494 eV for the cell shown
Symmetry: C2/m, No. 12

abc: 9.404 9.409 9.252
angles: 120.46 90.00 119.98
Element x y z (fractional)
Ba  0.254  0.509  0.762
Ba  0.755  0.995  0.235
Ba  0.760  0.005  0.765
Ba  0.240  0.995  0.235
Ba  0.763  0.525  0.767
Ba  0.245  0.005  0.765
Ba  0.746  0.491  0.238
Ba  0.237  0.475  0.233
Au  0.500  0.000  0.000
Au  0.500  0.500  0.000
Au  0.000  0.500  0.000
H  0.000  0.000  0.000

=====

Here is a geometry-optimized LiGaBi structure from the Alexandria database. Energies are from PBE.

Output
ΔH_f (0 K): -0.109 eV/atom
Symmetry: F-43m, No. 216

abc: 4.587 4.587 4.587
angles: 60.00 60.00 60.00
Element x y z (fractional)
Li  0.250  0.250  0.250
Bi  0.500  0.500  0.500
Ga  0.000  0.000  0.000

=====

Here is a geometry-optimized Nd2MnGe4Pd3 structure from the Alexandria database. Energies are from PBE.

Output
ΔH_f (0 K): -0.716 eV/atom
Symmetry: P-4m2, No. 115

abc: 4.274 4.274 10.535
angles: 90.00 90.00 90.00
Site moments in Bohr magnetons follow the coordinates.
Element x y z (fractional)
Nd  0.000  0.500  0.751  0.01
Nd  0.500  0.000  0.249  0.01
Ge  0.500  0.500  0.000  0.00
Ge  0.000  0.000  0.000  0.01
Ge  0.000  0.500  0.367  -0.08
Ge  0.500  0.000  0.633  -0.08
Pd  0.500  0.000  0.870  -0.02
Pd  0.000  0.000  0.500  0.04
Pd  0.000  0.500  0.130  -0.02
Mn  0.500  0.500  0.500  3.38

=====

Here is a geometry-optimized Ti5V2Pd12 structure from the Alexandria database. Energies are from PBE.

Output
ΔH_f (0 K): -0.229 eV/atom
Symmetry: C2/m, No. 12

abc: 5.310 7.864 8.663
angles: 106.99 90.00 109.73
Element x y z (fractional)
Pd  0.436  0.385  0.100
Pd  0.584  0.666  0.409
Pd  0.086  0.171  0.276
Pd  0.491  0.983  0.647
Pd  0.914  0.829  0.724
Pd  0.564  0.615  0.900
Pd  0.082  0.666  0.409
Pd  0.949  0.385  0.100
Pd  0.509  0.017  0.353
Pd  0.416  0.334  0.591
Pd  0.051  0.615  0.900
Pd  0.918  0.334  0.591
Ti  0.669  0.337  0.327
Ti  0.000  0.000  0.500
Ti  0.642  0.284  0.848
Ti  0.331  0.663  0.673
Ti  0.358  0.716  0.152
V  0.297  0.000  0.000
V  0.703  0.000  0.000

=====

Here is a geometry-optimized Tb3Sm4Y8 structure from the Alexandria database. Energies are from PBE.

Output
ΔH_f (0 K): 0.377 eV/atom
Symmetry: C2/m, No. 12

abc: 6.779 9.323 9.323
angles: 87.23 111.36 111.36
Site moments in Bohr magnetons follow the coordinates.
Element x y z (fractional)
Y  0.997  0.732  0.732  0.01
Y  0.003  0.268  0.268  0.01
Y  0.000  0.641  0.359  0.01
Y  0.480  0.735  0.735  0.01
Y  0.520  0.265  0.265  0.01
Y  0.500  0.746  0.254  0.05
Y  0.500  0.254  0.746  0.05
Y  0.000  0.359  0.641  0.01
Sm  0.000  0.500  0.000  0.00
Sm  0.500  0.000  0.000  0.09
Sm  0.000  0.000  0.500  0.00
Sm  0.000  0.000  0.000  0.03
Tb  0.500  0.000  0.500  0.01
Tb  0.500  0.500  0.500  0.03
Tb  0.500  0.500  0.000  0.01

=====

Here is a geometry-optimized Ga2SnPd structure from the Alexandria database. Energies are from PBE.

Output
ΔH_f (0 K): -0.221 eV/atom
Symmetry: R3m, No. 160

abc: 4.297 4.297 5.720
angles: 67.94 67.94 60.00
Element x y z (fractional)
Pd  0.671  0.671  0.986
Ga  0.058  0.058  0.825
Ga  0.278  0.278  0.167
Sn  0.493  0.493  0.522

=====

Here is a geometry-optimized LiNp3Nb2N6 structure from the Alexandria database. Energies are from PBE.

Output
Formation energy from raw total energies: -1.06 eV/atom
Symmetry: C2/m, No. 12

abc: 3.333 6.452 7.270
angles: 100.09 103.25 90.00
Site moments in Bohr magnetons follow the coordinates.
Element x y z (fractional)
N  0.992  0.735  0.984  -0.11
N  0.331  0.899  0.662  -0.09
N  0.667  0.583  0.334  -0.06
N  0.008  0.265  0.016  -0.11
N  0.333  0.417  0.666  -0.06
N  0.669  0.101  0.338  -0.09
Nb  0.827  0.655  0.654  -0.10
Nb  0.173  0.345  0.346  -0.10
Np  0.160  0.845  0.320  2.94
Np  0.840  0.155  0.680  2.94
Np  0.500  0.500  0.000  2.54
Li  0.500  0.000  0.000  0.00

=====

Here is a geometry-optimized Cs2KTlF4 structure from the Alexandria database. Energies are from PBE.

Output
Formation energy from raw total energies: -2.42 eV/atom
Symmetry: P2/m, No. 10

abc: 4.118 7.144 7.131
angles: 70.72 90.00 90.00
Element x y z (fractional)
Cs  0.000  0.000  0.000
Cs  0.500  0.000  0.500
F  0.000  0.729  0.750
F  0.000  0.271  0.250
F  0.500  0.726  0.263
F  0.500  0.274  0.737
Tl  0.500  0.500  0.000
K  0.000  0.500  0.500

=====

Here is a geometry-optimized Ta2NbI structure from the Alexandria database. Energies are from PBE.

Output
Formation energy from raw total energies: 0.81 eV/atom
Symmetry: Fm-3m, No. 225

abc: 4.799 4.799 4.799
angles: 60.00 60.00 60.00
Element x y z (fractional)
I  0.500  0.500  0.500
Ta  0.250  0.250  0.250
Ta  0.750  0.750  0.750
Nb  0.000  0.000  0.000

=====

no.,volume (A^3/atom)
1,35.3
2,13.7
3,35.2
4,47.9
5,22.7
6,19.2
7,17.0
8,33.9
9,20.6
10,12.5
11,24.8
12,19.5